Density functional theory data (PBE-GGA) for a relaxed structure of NpNiGeRh.

a = 4.5482 Å, b = 4.5482 Å, c = 4.5482 Å
α = 60.00°, β = 60.00°, γ = 60.00°
Last column: nearest neighbours and their distance in Å.
Sites, in units of the cell vectors:
Np 0.0000 0.0000 0.0000  4 Ni 2.79, 4 Ge 2.79
Ni 0.7500 0.7500 0.7500  4 Np 2.79, 4 Rh 2.79
Ge 0.2500 0.2500 0.2500  4 Rh 2.79, 4 Np 2.79
Rh 0.5000 0.5000 0.5000  4 Ni 2.79, 4 Ge 2.79

Values from the calculation:
**V**: 66.5 Å³/f.u.
**Formation energy from the elements**: -33 meV per atom
**Space group**: F-43m
**E_tot**: -30.82 eV for the cell shown


Density functional theory data (PBE-GGA) for a relaxed structure of Rb2AgSe2.

a = 10.6792 Å, b = 10.6792 Å, c = 10.6792 Å
α = 157.91°, β = 157.91°, γ = 31.45°
Last column: nearest neighbours and their distance in Å.
Sites, in units of the cell vectors:
Rb 0.1134 0.1134 0.0000  4 Se 3.47, 4 Ag 3.72
Rb 0.8866 0.8866 0.0000  4 Se 3.47, 4 Ag 3.72
Ag 0.5000 0.5000 0.0000  8 Rb 3.72, 4 Ag 4.09
Se 0.2500 0.7500 0.5000  4 Se 2.89
Se 0.7500 0.2500 0.5000  4 Se 2.89

Values from the calculation:
**E_form (uncorrected)**: -0.28 eV per atom
**V**: 172.2 Å³/f.u.
**Energy above the lowest structure with this stoichiometry**: 277 meV per atom
**Space group**: I4/mmm
**E_tot**: -13.16 eV for the cell shown


Density functional theory data (PBE-GGA) for a relaxed structure of AlPdSCl2.

a = 4.8861 Å, b = 4.8861 Å, c = 4.7609 Å
α = 90.00°, β = 90.00°, γ = 90.00°
Last column: nearest neighbours and their distance in Å.
Sites, in units of the cell vectors:
Al 0.0000 0.0000 0.0000  8 Cl 3.41, 4 S 3.45
Pd 0.5000 0.5000 0.5000  2 S 2.38, 4 Cl 2.44
S 0.5000 0.5000 0.0000  2 Pd 2.38
Cl 0.0000 0.5000 0.5000  2 Pd 2.44
Cl 0.5000 0.0000 0.5000  2 Pd 2.44

Values from the calculation:
**E_form (uncorrected)**: -0.01 eV per atom
**V**: 113.7 Å³/f.u.
**Energy above the lowest structure with this stoichiometry**: 213 meV per atom
**Space group**: P4/mmm
**E_tot**: -16.82 eV for the cell shown


Density functional theory data (PBE-GGA) for a relaxed structure of InBrNO2.

a = 3.9971 Å, b = 3.9971 Å, c = 4.2348 Å
α = 90.00°, β = 90.00°, γ = 90.00°
Last column: nearest neighbours and their distance in Å.
Sites, in units of the cell vectors:
In 0.0000 0.0000 0.0000  4 N 2.83, 8 O 2.91
Br 0.5000 0.5000 0.5000  4 O 2.00, 2 N 2.12
N 0.5000 0.5000 0.0000  2 Br 2.12
O 0.0000 0.5000 0.5000  2 Br 2.00
O 0.5000 0.0000 0.5000  2 Br 2.00

Values from the calculation:
**E_form (uncorrected)**: 0.86 eV per atom
**V**: 67.7 Å³/f.u.
**Space group**: P4/mmm
**E_tot**: -18.33 eV for the cell shown


Density functional theory data (PBE-GGA) for a relaxed structure of PmDyGa4.

a = 4.2379 Å, b = 4.2379 Å, c = 8.3583 Å
α = 90.00°, β = 90.00°, γ = 120.00°
Last column: nearest neighbours and their distance in Å.
Sites, in units of the cell vectors:
Pm 0.0000 0.0000 0.0000  12 Ga 3.25
Dy 0.0000 0.0000 0.5000  12 Ga 3.18
Ga 0.3333 0.6667 0.2561  3 Ga 2.45
Ga 0.3333 0.6667 0.7439  3 Ga 2.45
Ga 0.6667 0.3333 0.2561  3 Ga 2.45
Ga 0.6667 0.3333 0.7439  3 Ga 2.45

Values from the calculation:
**V**: 130.0 Å³/f.u.
**Energy above the lowest structure with this stoichiometry**: 0 meV per atom
**Formation energy from the elements**: -668 meV per atom
**Space group**: P6/mmm
**E_tot**: -25.47 eV for the cell shown


Density functional theory data (PBE-GGA) for a relaxed structure of Rb4Tl4Ag.

a = 10.4582 Å, b = 10.4582 Å, c = 10.4582 Å
α = 143.40°, β = 143.40°, γ = 52.73°
Last column: nearest neighbours and their distance in Å.
Sites, in units of the cell vectors:
Rb 0.1123 0.1123 0.5409  1 Ag 3.65, 5 Tl 3.71-4.03
Rb 0.4287 0.8877 0.0000  1 Ag 3.65, 5 Tl 3.71-4.03
Rb 0.5713 0.5713 0.4591  1 Ag 3.65, 5 Tl 3.71-4.03
Rb 0.8877 0.4287 0.0000  1 Ag 3.65, 5 Tl 3.71-4.03
Tl 0.1525 0.7382 0.0000  1 Ag 2.91
Tl 0.2618 0.2618 0.4143  1 Ag 2.91
Tl 0.7382 0.1525 0.0000  1 Ag 2.91
Tl 0.8475 0.8475 0.5857  1 Ag 2.91
Ag 0.5000 0.5000 0.0000  4 Tl 2.91

Values from the calculation:
**V**: 404.2 Å³/f.u.
**Formation energy from the elements**: 1 meV per atom
**Space group**: I-42m
**E_tot**: -16.18 eV for the cell shown


Density functional theory data (PBE-GGA) for a relaxed structure of Co2RuPb.

a = 4.6368 Å, b = 4.6368 Å, c = 4.7569 Å
α = 101.11°, β = 101.11°, γ = 38.29°
Last column: nearest neighbours and their distance in Å.
Sites, in units of the cell vectors:
Co 0.2372 0.2372 0.1889  2 Co 2.40, 3 Ru 2.58-2.64
Co 0.7628 0.7628 0.8111  2 Co 2.40, 3 Ru 2.58-2.64
Ru 0.5000 0.5000 0.0000  6 Co 2.58-2.64, 4 Pb 2.82
Pb 0.0000 0.0000 0.5000  6 Co 2.79-2.90, 4 Ru 2.82, 2 Pb 3.04

Values from the calculation:
**V**: 62.0 Å³/f.u.
**Formation energy from the elements**: 524 meV per atom
**Space group**: C2/m
**E_tot**: -25.10 eV for the cell shown


Density functional theory data (PBE-GGA) for a relaxed structure of CsZnHg.

a = 5.0632 Å, b = 5.0632 Å, c = 5.2997 Å
α = 90.00°, β = 90.00°, γ = 120.00°
Last column: nearest neighbours and their distance in Å.
Sites, in units of the cell vectors:
Cs 0.0000 0.0000 0.0000  6 Hg 3.95, 6 Zn 3.95
Zn 0.6667 0.3333 0.5000  3 Hg 2.92
Hg 0.3333 0.6667 0.5000  3 Zn 2.92

Values from the calculation:
**V**: 117.7 Å³/f.u.
**Energy above the lowest structure with this stoichiometry**: 42 meV per atom
**Formation energy from the elements**: -43 meV per atom
**Space group**: P-6m2
**E_tot**: -2.56 eV for the cell shown